Record 1
Computed, not measured: a relaxed structure of Hf6ZnFe2 at the GGA-PBE level of DFT.

Cell lengths 7.650, 7.650, 7.650 Å; angles 102.85, 112.16, 113.60 degrees
Sites, in units of the cell vectors:
Hf1 0.517 0.704 0.813
Hf2 0.483 0.296 0.187
Hf3 0.109 0.296 0.813
Hf4 0.891 0.704 0.187
Hf5 0.801 0.766 0.567
Hf6 0.199 0.234 0.433
Hf7 0.199 0.766 0.966
Hf8 0.801 0.234 0.034
Hf9 0.693 0.365 0.672
Hf10 0.307 0.635 0.328
Hf11 0.307 0.979 0.672
Hf12 0.693 0.021 0.328
Zn1 0.000 0.500 0.500
Zn2 0.000 0.000 0.000
Fe1 0.500 0.368 0.868
Fe2 0.500 0.632 0.132
Fe3 0.671 0.000 0.671
Fe4 0.329 0.000 0.329

Results
Total energy ... -8.812 eV per atom
Crystal system ... orthorhombic

=====

Record 2
Computed, not measured: a relaxed structure of Ca2GaCu2 at the GGA-PBE level of DFT.

Cell lengths 4.299, 5.428, 5.678 Å; angles 118.42, 112.06, 90.14 degrees
Sites, in units of the cell vectors:
Ca1 0.805 0.304 0.609
Ca2 0.195 0.696 0.391
Cu1 0.501 0.742 0.000
Cu2 0.499 0.258 0.000
Ga1 0.000 0.000 0.000

Results
Total energy ... -3.341 eV per atom
Crystal system ... triclinic

=====

Record 3
Computed, not measured: a relaxed structure of Ce3Zn2Au3 at the GGA-PBE level of DFT.

Cell lengths 4.562, 5.887, 14.887 Å; angles 90.00, 90.00, 112.79 degrees
Sites, in units of the cell vectors:
Ce1 0.915 0.829 0.398
Ce2 0.085 0.171 0.898
Ce3 0.915 0.829 0.102
Ce4 0.085 0.171 0.602
Ce5 0.641 0.282 0.250
Ce6 0.359 0.718 0.750
Zn1 0.788 0.575 0.901
Zn2 0.212 0.425 0.401
Zn3 0.788 0.575 0.599
Zn4 0.212 0.425 0.099
Au1 0.615 0.231 0.454
Au2 0.385 0.769 0.954
Au3 0.615 0.231 0.046
Au4 0.385 0.769 0.546
Au5 0.353 0.705 0.250
Au6 0.647 0.295 0.750

Results
Total energy ... -4.320 eV per atom
Crystal system ... orthorhombic

=====

Record 4
Computed, not measured: a relaxed structure of CsMgH2I at the GGA-PBE level of DFT.

Cell lengths 4.826, 7.966, 4.826 Å; angles 90.00, 90.00, 90.00 degrees
Sites, in units of the cell vectors:
Cs1 0.000 0.000 0.000
I1 0.000 0.500 0.000
Mg1 0.500 0.500 0.500
H1 0.000 0.000 0.500
H2 0.500 0.000 0.000

Results
Total energy ... -1.686 eV per atom
Crystal system ... tetragonal